DFT (PBE) results for an optimized crystal structure of La2Tb6NdHo3.

Properties
**ΔE_f**: 0.021 eV/atom
**Space group**: C2/m, No. 12
**Theoretical density**: 7.88 Mg/m³
**M_tot**: 0.00 μB/cell

a = 6.2295 Å, b = 6.2295 Å, c = 11.9027 Å
α = 94.99°, β = 94.99°, γ = 119.99°
Sites, in units of the cell vectors:
La1 0.6668 0.3332 0.0000
La2 0.3332 0.6668 0.0000
Nd1 0.0000 0.0000 0.0000
Ho1 0.8335 0.1665 0.5000
Ho2 0.1665 0.8335 0.5000
Ho3 0.5000 0.5000 0.5000
Tb1 0.5812 0.9141 0.7443
Tb2 0.7529 0.7529 0.2557
Tb3 0.0859 0.4188 0.2557
Tb4 0.2471 0.2471 0.7443
Tb5 0.4188 0.0859 0.2557
Tb6 0.9141 0.5812 0.7443



DFT (PBE) results for an optimized crystal structure of K2ScW.

Properties
**ΔE_f**: 1.915 eV/atom
**Space group**: Fm-3m, No. 225
**Theoretical density**: 3.86 Mg/m³
**M_tot**: 2.89 μB/cell
**Distance to the lowest polymorph of the same formula**: 1025 meV/atom

a = 5.7150 Å, b = 5.7150 Å, c = 5.7150 Å
α = 60.00°, β = 60.00°, γ = 60.00°
Last column: magnetic moment on the atom in μB.
Sites, in units of the cell vectors:
K1 0.2500 0.2500 0.2500  0.01
K2 0.7500 0.7500 0.7500  0.01
W1 0.5000 0.5000 0.5000  2.81
Sc1 0.0000 0.0000 0.0000  -0.68



DFT (PBE) results for an optimized crystal structure of Ca3Mg3Cd8.

Properties
**ΔE_f**: -0.239 eV/atom
**Space group**: Immm, No. 71
**Theoretical density**: 5.11 Mg/m³
**M_tot**: 0.00 μB/cell

a = 4.8668 Å, b = 9.1630 Å, c = 9.1630 Å
α = 66.42°, β = 74.60°, γ = 74.60°
Sites, in units of the cell vectors:
Cd1 0.6325 0.6544 0.0805
Cd2 0.8343 0.8068 0.5246
Cd3 0.8343 0.5246 0.8068
Cd4 0.1657 0.1932 0.4754
Cd5 0.1657 0.4754 0.1932
Cd6 0.6325 0.0805 0.6544
Cd7 0.3675 0.9195 0.3456
Cd8 0.3675 0.3456 0.9195
Ca1 0.5000 0.5000 0.5000
Ca2 0.7930 0.2070 0.2070
Ca3 0.2070 0.7930 0.7930
Mg1 0.0000 0.1910 0.8090
Mg2 0.5000 0.0000 0.0000
Mg3 0.0000 0.8090 0.1910



DFT (PBE) results for an optimized crystal structure of Sm2P2RhN6.

Properties
**Energy relative to the elements, uncorrected**: -6.0 eV/f.u.
**Space group**: R-3m, No. 166
**Theoretical density**: 6.62 Mg/m³
**M_tot**: 0.00 μB/cell

a = 5.4326 Å, b = 5.4326 Å, c = 6.2360 Å
α = 64.18°, β = 64.18°, γ = 60.00°
Sites, in units of the cell vectors:
N1 0.2402 0.7510 0.2578
N2 0.7598 0.2490 0.7422
N3 0.2490 0.2490 0.7422
N4 0.7510 0.7510 0.2578
N5 0.2490 0.7598 0.7422
N6 0.7510 0.2402 0.2578
P1 0.4338 0.4338 0.6985
P2 0.5662 0.5662 0.3015
Sm1 0.7873 0.7873 0.6382
Sm2 0.2127 0.2127 0.3618
Rh1 0.0000 0.0000 0.0000



DFT (PBE) results for an optimized crystal structure of AlTl2Ir2.

Properties
**ΔE_f**: 0.126 eV/atom
**Space group**: P4/mbm, No. 127
**Theoretical density**: 14.31 Mg/m³
**M_tot**: 0.00 μB/cell

a = 6.6260 Å, b = 6.6260 Å, c = 4.3366 Å
α = 90.00°, β = 90.00°, γ = 90.00°
Sites, in units of the cell vectors:
Al1 0.0000 0.0000 0.0000
Al2 0.5000 0.5000 0.0000
Tl1 0.8336 0.3336 0.5000
Tl2 0.1664 0.6664 0.5000
Tl3 0.6664 0.8336 0.5000
Tl4 0.3336 0.1664 0.5000
Ir1 0.3538 0.8538 0.0000
Ir2 0.6462 0.1462 0.0000
Ir3 0.1462 0.3538 0.0000
Ir4 0.8538 0.6462 0.0000



DFT (PBE) results for an optimized crystal structure of Hf2InNi.

Properties
**ΔE_f**: -0.262 eV/atom
**Space group**: P4/mmm, No. 123
**Theoretical density**: 11.66 Mg/m³
**M_tot**: 0.00 μB/cell

a = 3.0475 Å, b = 3.0475 Å, c = 8.1360 Å
α = 90.00°, β = 90.00°, γ = 90.00°
Sites, in units of the cell vectors:
Hf1 0.0000 0.0000 0.7897
Hf2 0.0000 0.0000 0.2103
In1 0.5000 0.5000 0.5000
Ni1 0.5000 0.5000 0.0000



DFT (PBE) results for an optimized crystal structure of SrSi3Ni.

Properties
**Energy relative to the elements, uncorrected**: -1.6 eV/f.u.
**Space group**: P2_1/c, No. 14
**Theoretical density**: 3.93 Mg/m³
**M_tot**: 0.00 μB/cell

a = 5.7575 Å, b = 8.1856 Å, c = 8.3355 Å
α = 82.80°, β = 90.00°, γ = 90.00°
Sites, in units of the cell vectors:
Si1 0.0747 0.2892 0.0145
Si2 0.2608 0.3199 0.3198
Si3 0.7566 0.9387 0.3925
Si4 0.7608 0.1801 0.1802
Si5 0.2566 0.5613 0.1075
Si6 0.4253 0.7892 0.5145
Si7 0.5747 0.2108 0.4855
Si8 0.7434 0.4387 0.8925
Si9 0.2434 0.0613 0.6075
Si10 0.7392 0.6801 0.6802
Si11 0.9253 0.7108 0.9855
Si12 0.2392 0.8199 0.8198
Sr1 0.7598 0.5475 0.3173
Sr2 0.7402 0.0475 0.8173
Sr3 0.2598 0.9525 0.1827
Sr4 0.2402 0.4525 0.6827
Ni1 0.0484 0.8264 0.5603
Ni2 0.5484 0.6736 0.9397
Ni3 0.4516 0.3264 0.0603
Ni4 0.9516 0.1736 0.4397



DFT (PBE) results for an optimized crystal structure of PRh2Se.

Properties
**Energy relative to the elements, uncorrected**: -0.1 eV/f.u.
**Space group**: Fm-3m, No. 225
**Theoretical density**: 8.89 Mg/m³
**M_tot**: 0.00 μB/cell

a = 4.3698 Å, b = 4.3698 Å, c = 4.3698 Å
α = 60.00°, β = 60.00°, γ = 60.00°
Sites, in units of the cell vectors:
Rh1 0.7500 0.7500 0.7500
Rh2 0.2500 0.2500 0.2500
P1 0.0000 0.0000 0.0000
Se1 0.5000 0.5000 0.5000



What did the seventh record say?
DFT (PBE) results for an optimized crystal structure of SrSi3Ni.

Properties
**Energy relative to the elements, uncorrected**: -1.6 eV/f.u.
**Space group**: P2_1/c, No. 14
**Theoretical density**: 3.93 Mg/m³
**M_tot**: 0.00 μB/cell

a = 5.7575 Å, b = 8.1856 Å, c = 8.3355 Å
α = 82.80°, β = 90.00°, γ = 90.00°
Sites, in units of the cell vectors:
Si1 0.0747 0.2892 0.0145
Si2 0.2608 0.3199 0.3198
Si3 0.7566 0.9387 0.3925
Si4 0.7608 0.1801 0.1802
Si5 0.2566 0.5613 0.1075
Si6 0.4253 0.7892 0.5145
Si7 0.5747 0.2108 0.4855
Si8 0.7434 0.4387 0.8925
Si9 0.2434 0.0613 0.6075
Si10 0.7392 0.6801 0.6802
Si11 0.9253 0.7108 0.9855
Si12 0.2392 0.8199 0.8198
Sr1 0.7598 0.5475 0.3173
Sr2 0.7402 0.0475 0.8173
Sr3 0.2598 0.9525 0.1827
Sr4 0.2402 0.4525 0.6827
Ni1 0.0484 0.8264 0.5603
Ni2 0.5484 0.6736 0.9397
Ni3 0.4516 0.3264 0.0603
Ni4 0.9516 0.1736 0.4397



Copy entry 2 word for word.
DFT (PBE) results for an optimized crystal structure of K2ScW.

Properties
**ΔE_f**: 1.915 eV/atom
**Space group**: Fm-3m, No. 225
**Theoretical density**: 3.86 Mg/m³
**M_tot**: 2.89 μB/cell
**Distance to the lowest polymorph of the same formula**: 1025 meV/atom

a = 5.7150 Å, b = 5.7150 Å, c = 5.7150 Å
α = 60.00°, β = 60.00°, γ = 60.00°
Last column: magnetic moment on the atom in μB.
Sites, in units of the cell vectors:
K1 0.2500 0.2500 0.2500  0.01
K2 0.7500 0.7500 0.7500  0.01
W1 0.5000 0.5000 0.5000  2.81
Sc1 0.0000 0.0000 0.0000  -0.68



- theoretical density of number 2 (K2ScW)?
  3.86 Mg/m³